A relaxed structure of CrPbF. Source: the Alexandria database, functional PBE with a Hubbard U.

Unit cell a=7.820 b=3.377 c=10.559 alpha=90.00 beta=103.54 gamma=90.00
Fractional positions:
F 0.578 0.059 0.849
F 0.422 0.559 0.651
F 0.578 0.559 0.349
F 0.422 0.059 0.151
Pb 0.111 0.058 0.381
Pb 0.111 0.558 0.881
Pb 0.889 0.558 0.119
Pb 0.889 0.058 0.619
Cr 0.297 0.059 0.706
Cr 0.703 0.559 0.794
Cr 0.297 0.559 0.206
Cr 0.703 0.059 0.294

Magnetization ... 1.3981 μB/atom
V ... 22.59 Å³/atom
Relative energy among the computed polymorphs ... 0.000 eV per atom
D(E_F) ... 2.55 states/eV/cell